Record 1
A plane-wave DFT calculation with GGA-PBE was carried out for a geometry-optimized Dy4Y7Tm2 structure.

a = 9.399 Å, b = 7.934 Å, c = 6.140 Å
α = 97.43°, β = 96.19°, γ = 65.08°
Fractional coordinates of all 13 atoms:
Dy 0.154 0.075 0.540
Dy 0.846 0.925 0.460
Dy 0.769 0.383 0.693
Dy 0.231 0.617 0.307
Y 0.077 0.538 0.768
Y 0.923 0.462 0.232
Y 0.000 0.000 0.000
Y 0.692 0.847 0.923
Y 0.308 0.153 0.077
Y 0.538 0.768 0.386
Y 0.462 0.232 0.614
Tm 0.615 0.309 0.153
Tm 0.385 0.691 0.847

## Properties
Size of the total moment: 0.0 μB per cell
Volume: 411 Å³/cell
Formation energy from the elements: 0.025 eV per atom
Mass density: 6505 kg/m3
Calculated total energy: -5.56 eV per atom

=====

Record 2
A plane-wave DFT calculation with GGA-PBE was carried out for a geometry-optimized DyY3Tm structure.

a = 5.617 Å, b = 6.287 Å, c = 9.603 Å
α = 109.13°, β = 90.00°, γ = 90.00°
Fractional coordinates of all 10 atoms:
Dy 0.250 0.270 0.201
Dy 0.750 0.730 0.799
Y 0.750 0.537 0.401
Y 0.250 0.463 0.599
Y 0.750 0.332 0.999
Y 0.250 0.063 0.798
Y 0.250 0.668 0.001
Y 0.750 0.937 0.202
Tm 0.250 0.869 0.401
Tm 0.750 0.131 0.599

## Properties
Size of the total moment: 0.0 μB per cell
Volume: 320 Å³/cell
Formation energy from the elements: 0.000 eV per atom
Mass density: 6200 kg/m3
Calculated total energy: -5.69 eV per atom

=====

Record 3
A plane-wave DFT calculation with GGA-PBE was carried out for a geometry-optimized Dy4Y10Tm structure.

a = 7.683 Å, b = 9.414 Å, c = 9.414 Å
α = 80.42°, β = 65.92°, γ = 65.92°
Fractional coordinates of all 15 atoms:
Dy 0.399 0.801 0.400
Dy 0.799 0.600 0.801
Dy 0.201 0.400 0.199
Dy 0.601 0.199 0.600
Y 0.250 0.500 0.500
Y 0.651 0.299 0.899
Y 0.049 0.101 0.299
Y 0.449 0.899 0.701
Y 0.850 0.701 0.101
Y 0.349 0.701 0.101
Y 0.750 0.500 0.500
Y 0.150 0.299 0.899
Y 0.551 0.101 0.299
Y 0.951 0.899 0.701
Tm 0.000 0.000 0.000

## Properties
Size of the total moment: 0.0 μB per cell
Volume: 568 Å³/cell
Formation energy from the elements: 0.733 eV per atom
Mass density: 4997 kg/m3
Calculated total energy: -5.10 eV per atom

=====

Record 4
A plane-wave DFT calculation with GGA-PBE was carried out for a geometry-optimized DyYTm2 structure.

a = 3.525 Å, b = 3.525 Å, c = 11.658 Å
α = 81.30°, β = 81.30°, γ = 60.00°
Fractional coordinates of all 4 atoms:
Y 0.500 0.500 0.500
Tm 0.750 0.750 0.751
Tm 0.250 0.250 0.249
Dy 0.000 0.000 0.000

## Properties
Size of the total moment: 0.0 μB per cell
Volume: 124 Å³/cell
Formation energy from the elements: 0.027 eV per atom
Mass density: 7923 kg/m3
Polymorph energy (0 for the lowest one): 0.0155 eV per atom
Calculated total energy: -4.97 eV per atom